Record 1
FeTc4C | PBE | optimized geometry

magnetic moment	5.11	Bohr magnetons per cell
calculated formation energy	215	kJ/mol of formula units

a b c (Å): 6.941 11.051 5.403
angles (deg): 90.00 128.99 90.00
Space group C2/c (No. 15)
Symmetry-distinct sites (fractional):
1 Fe 0.000 0.137 0.250 x4
2 Tc 0.167 0.284 0.706 x8
3 Tc 0.248 0.036 0.779 x8
4 C 0.000 0.438 0.750 x4


Record 2
Fe3TcC | PBE | optimized geometry

magnetic moment	3.62	Bohr magnetons per cell
E above lowest polymorph	0	meV per atom
calculated formation energy	125	kJ/mol of formula units

a b c (Å): 3.764 3.764 3.764
angles (deg): 90.00 90.00 90.00
Space group Pm-3m (No. 221)
Symmetry-distinct sites (fractional):
1 Fe 0.000 0.000 0.500 x3
2 Tc 0.500 0.500 0.500 x1
3 C 0.000 0.000 0.000 x1


Record 3
FeTcC3 | PBE | optimized geometry

magnetic moment	2.41	Bohr magnetons per cell
E above lowest polymorph	0	meV per atom
calculated formation energy	1000	kJ/mol of formula units

a b c (Å): 3.698 3.698 3.698
angles (deg): 90.00 90.00 90.00
Space group Pm-3m (No. 221)
Symmetry-distinct sites (fractional):
1 Fe 0.000 0.000 0.000 x1
2 Tc 0.500 0.500 0.500 x1
3 C 0.000 0.000 0.500 x3